{"formula": "RbTbY4Se8", "functional": "GGA-PBE", "state": "optimized geometry", "space_group": "R3m", "dos_at_fermi_per_ev_cell": 0.00, "e_form_raw_ev_per_atom": -1.731, "crystal_system": "trigonal", "total_energy_ev_per_atom": -5.969, "lattice_angstrom": [[4.323, 2.496, 7.076], [-4.323, 2.496, 7.076], [0.000, -4.992, 7.076]], "species": ["Rb", "Tb", "Y", "Y", "Y", "Y", "Se", "Se", "Se", "Se", "Se", "Se", "Se", "Se"], "fractional_positions": [[0.000, 0.000, 0.000], [0.630, 0.630, 0.630], [0.111, 0.630, 0.630], [0.251, 0.251, 0.251], [0.630, 0.111, 0.630], [0.630, 0.630, 0.111], [0.383, 0.383, 0.383], [0.383, 0.383, 0.854], [0.383, 0.854, 0.383], [0.428, 0.858, 0.858], [0.854, 0.383, 0.383], [0.858, 0.428, 0.858], [0.858, 0.858, 0.428], [0.858, 0.858, 0.858]]}